(1)
Cs3RbC | PBE | relaxed

The structure in POSCAR format:
```
Cs3RbC
1.0
-4.463 5.072 -0.013
-2.638 -2.335 -5.765
-4.333 -3.803 3.523
Cs C Rb
3 1 1
direct
0.000 0.000 0.500
0.500 0.000 0.000
0.000 0.500 0.000
0.000 0.000 0.000
0.500 0.500 0.500
```

total moment = 0.00 μB/f.u.
formation energy from the elements = 1.01 eV/atom

(2)
Zr6MnOs5 | PBE | relaxed

The structure in POSCAR format:
```
Zr6MnOs5
1.0
4.449 0.019 -1.298
-0.898 5.748 -2.993
-0.078 0.435 8.008
Zr Os Mn
6 5 1
direct
0.165 0.413 0.330
0.835 0.587 0.670
0.835 0.083 0.670
0.500 0.246 0.000
0.500 0.754 0.000
0.165 0.917 0.330
0.333 0.333 0.667
0.667 0.167 0.334
0.333 0.833 0.666
0.667 0.667 0.333
0.000 0.500 0.000
0.000 0.000 0.000
```

total moment = 0.00 μB/f.u.
formation energy from the elements = -0.46 eV/atom

(3)
GeOsI2N | PBE | relaxed

The structure in POSCAR format:
```
GeOsI2N
1.0
5.632 0.000 0.000
0.000 5.632 0.000
0.000 0.000 3.434
Os Ge I N
1 1 2 1
direct
0.500 0.500 0.500
0.000 0.000 0.000
0.500 0.000 0.000
0.000 0.500 0.000
0.000 0.000 0.500
```

energy = -19.32 eV per cell
total moment = 1.34 μB/f.u.

(4)
CaCeIrPd | PBE | relaxed

The structure in POSCAR format:
```
CaCeIrPd
1.0
-0.826 2.726 -4.036
-4.430 2.063 -0.724
-0.539 4.895 0.394
Pd Ce Ir Ca
1 1 1 1
direct
0.500 0.500 0.500
0.750 0.750 0.750
0.000 0.000 0.000
0.250 0.250 0.250
```

total moment = 0.56 μB/f.u.
formation energy from the elements = -0.60 eV/atom

(5)
Ca2BeNbIn | PBE | relaxed

The structure in POSCAR format:
```
Ca2BeNbIn
1.0
-1.579 1.716 4.906
-2.619 -3.661 0.437
4.136 -2.689 2.272
Be Nb In Ca
1 1 1 2
direct
0.000 0.000 0.000
0.500 0.500 0.500
0.000 0.500 0.000
0.000 0.000 0.500
0.500 0.000 0.000
```

total moment = 3.63 μB/f.u.
formation energy from the elements = 0.67 eV/atom

(6)
TiCd4Ag | PBE | relaxed

The structure in POSCAR format:
```
TiCd4Ag
1.0
-0.622 -2.332 -1.926
1.669 -1.904 1.768
-10.236 -2.779 6.670
Cd Ti Ag
4 1 1
direct
0.000 0.000 0.340
0.500 0.500 0.839
0.000 0.000 0.660
0.500 0.500 0.161
0.500 0.500 0.500
0.000 0.000 0.000
```

total moment = 0.00 μB/f.u.
formation energy from the elements = -0.01 eV/atom